Entry 1:
TlSi2Ni (GGA-PBE, relaxed); magnetization = 0.0 Bohr magnetons per cell; D(E_F) = 2.0 states/eV/cell; formation energy without anion corrections = 0.559 eV/f.u.; E = -4.61 eV/atom
1.0
-2.475 0.694 1.486
0.719 -1.958 2.112
3.975 5.720 3.950
Tl Si Ni
1 2 1
Cartesian
0.116 0.798 2.787 Tl
2.318 3.337 2.304 Si
3.644 5.244 3.621 Si
2.103 3.658 4.762 Ni


Entry 2:
Tl2SiNi (GGA-PBE, relaxed); magnetization = 0.0 Bohr magnetons per cell; D(E_F) = 1.9 states/eV/cell; formation energy without anion corrections = 2.201 eV/f.u.; E = -3.43 eV/atom; energy above the most stable polymorph in this dataset = 477.0 meV/atom
1.0
3.376 0.000 0.000
0.000 4.316 0.014
0.000 2.522 5.781
Tl Si Ni
2 1 1
Cartesian
0.000 3.231 2.832 Tl
0.000 0.188 0.066 Tl
1.688 5.129 4.347 Si
1.688 1.710 1.449 Ni


Entry 3:
Tl2SiNi (GGA-PBE, relaxed); magnetization = 0.0 Bohr magnetons per cell; D(E_F) = 3.2 states/eV/cell; formation energy without anion corrections = 2.428 eV/f.u.; E = -3.38 eV/atom; energy above the most stable polymorph in this dataset = 533.5 meV/atom
1.0
5.076 -0.135 0.000
-0.913 4.995 0.000
0.000 0.000 3.241
Tl Si Ni
2 1 1
Cartesian
2.082 2.430 0.000 Tl
0.000 0.000 0.000 Tl
-0.456 2.497 1.620 Si
2.538 -0.067 1.620 Ni


Entry 4:
Tl2SiNi (GGA-PBE, relaxed); magnetization = 0.0 Bohr magnetons per cell; D(E_F) = 2.4 states/eV/cell; formation energy without anion corrections = 2.476 eV/f.u.; E = -3.37 eV/atom; energy above the most stable polymorph in this dataset = 545.5 meV/atom
1.0
-4.739 0.357 1.128
-2.823 3.247 -2.313
-3.387 -1.528 -3.171
Ni Si Tl
1 1 2
Cartesian
-5.474 1.038 -2.178 Ni
0.000 0.000 0.000 Si
-2.737 0.519 -1.089 Tl
-8.212 1.557 -3.267 Tl


Entry 5:
TlSi2Ni (GGA-PBE, relaxed); magnetization = 0.0 Bohr magnetons per cell; D(E_F) = 1.8 states/eV/cell; formation energy without anion corrections = 2.375 eV/f.u.; E = -4.15 eV/atom
1.0
-1.247 4.607 0.848
-0.757 0.160 4.786
3.867 -1.688 -2.387
Ni Si Tl
1 2 1
Cartesian
1.054 0.428 2.608 Ni
0.809 2.652 0.639 Si
0.000 0.000 0.000 Si
-1.002 2.384 2.817 Tl


Entry 6:
TlSi2Ni (GGA-PBE, relaxed); magnetization = 0.0 Bohr magnetons per cell; D(E_F) = 3.1 states/eV/cell; formation energy without anion corrections = 2.688 eV/f.u.; E = -4.08 eV/atom
1.0
0.000 3.270 3.270
3.270 0.000 3.270
3.270 3.270 0.000
Tl Ni Si
1 1 2
Cartesian
3.270 3.270 3.270 Tl
0.000 0.000 0.000 Ni
4.905 4.905 4.905 Si
1.635 1.635 1.635 Si


Entry 7:
Tl2Si2Ni (GGA-PBE, relaxed); magnetization = 0.0 Bohr magnetons per cell; D(E_F) = 4.7 states/eV/cell; formation energy without anion corrections = 1.024 eV/f.u.; E = -4.07 eV/atom
1.0
6.167 0.000 0.000
0.000 6.167 0.000
0.000 0.000 5.286
Tl Si Ni
4 4 2
Cartesian
1.162 4.245 2.643 Tl
5.005 1.922 2.643 Tl
1.922 1.162 2.643 Tl
4.245 5.005 2.643 Tl
5.288 3.962 0.000 Si
3.962 0.878 0.000 Si
2.205 5.288 0.000 Si
0.878 2.205 0.000 Si
3.083 3.083 0.000 Ni
0.000 0.000 0.000 Ni


Entry 8:
Tl2SiNi (GGA-PBE, relaxed); magnetization = 0.0 Bohr magnetons per cell; D(E_F) = 2.0 states/eV/cell; formation energy without anion corrections = 0.805 eV/f.u.; E = -3.78 eV/atom; energy above the most stable polymorph in this dataset = 127.8 meV/atom
1.0
4.231 0.000 0.000
0.000 4.526 0.004
0.000 2.258 4.576
Tl Si Ni
2 1 1
Cartesian
0.000 6.512 4.306 Tl
2.116 2.007 1.453 Tl
2.116 4.277 3.226 Si
0.000 4.162 2.465 Ni


Entry 9:
TlSiNi4 (GGA-PBE, relaxed); magnetization = 0.0 Bohr magnetons per cell; D(E_F) = 6.2 states/eV/cell; formation energy without anion corrections = 1.256 eV/f.u.; E = -4.94 eV/atom
1.0
0.000 3.432 3.432
3.432 0.000 3.432
3.432 3.432 0.000
Ni Si Tl
4 1 1
Cartesian
2.578 4.285 4.285 Ni
4.285 4.285 2.578 Ni
2.578 2.578 2.578 Ni
4.285 2.578 4.285 Ni
5.148 5.148 5.148 Si
0.000 0.000 0.000 Tl


Entry 10:
Tl3SiNi (GGA-PBE, relaxed); magnetization = 0.0 Bohr magnetons per cell; D(E_F) = 4.2 states/eV/cell; formation energy without anion corrections = 2.626 eV/f.u.; E = -3.14 eV/atom; energy above the most stable polymorph in this dataset = 0.0 meV/atom
1.0
-3.549 1.052 -3.475
3.466 -0.467 -3.681
-1.083 -4.945 -0.391
Ni Tl Si
1 3 1
Cartesian
0.000 0.000 0.000 Ni
-0.541 -2.472 -0.196 Tl
1.733 -0.234 -1.840 Tl
-1.774 0.526 -1.738 Tl
-0.583 -2.180 -3.774 Si


Entry 11:
Tm3Si4Ni7 (GGA-PBE, relaxed); magnetization = 0.0 Bohr magnetons per cell; D(E_F) = 9.8 states/eV/cell; formation energy without anion corrections = -10.146 eV/f.u.; E = -6.12 eV/atom
1.0
-0.142 3.817 0.323
-7.022 1.466 2.349
0.166 1.286 7.636
Tm Si Ni
3 4 7
Cartesian
-1.290 1.722 1.838 Tm
-5.708 4.847 8.469 Tm
-3.428 1.376 4.992 Tm
-3.213 3.480 2.972 Si
-0.638 1.444 5.408 Si
-3.785 3.090 7.335 Si
-6.360 5.125 4.899 Si
-4.176 1.598 2.040 Ni
-1.580 3.229 6.658 Ni
-2.822 4.972 8.267 Ni
0.000 0.000 0.000 Ni
-5.418 3.340 3.649 Ni
-5.916 3.112 6.135 Ni
-1.082 3.457 4.172 Ni


Entry 12:
TmSi4Ni2 (GGA-PBE, relaxed); magnetization = 0.0 Bohr magnetons per cell; D(E_F) = 10.3 states/eV/cell; formation energy without anion corrections = -3.441 eV/f.u.; E = -5.88 eV/atom
1.0
3.888 0.000 0.000
0.000 6.339 0.000
0.000 0.000 16.655
Si Ni Tm
16 8 4
Cartesian
2.916 3.989 16.307 Si
2.916 6.198 1.064 Si
0.972 0.819 8.675 Si
0.972 1.265 3.485 Si
2.916 1.874 5.305 Si
2.916 1.295 13.633 Si
2.916 5.520 7.979 Si
0.972 3.028 7.263 Si
2.916 5.074 13.169 Si
0.972 2.350 0.348 Si
0.972 5.044 3.022 Si
0.972 1.905 11.813 Si
2.916 3.310 9.392 Si
2.916 4.434 4.842 Si
0.972 4.465 11.349 Si
0.972 0.141 15.590 Si
0.972 4.730 8.974 Ni
0.972 3.218 4.835 Ni
2.916 1.609 7.681 Ni
2.916 1.560 16.008 Ni
2.916 0.049 3.492 Ni
0.972 4.778 0.647 Ni
2.916 3.121 11.819 Ni
0.972 6.290 13.162 Ni
2.916 0.262 10.641 Tm
0.972 3.432 14.341 Tm
2.916 2.907 2.314 Tm
0.972 6.077 6.013 Tm


Entry 13:
Tm3Si2Ni (GGA-PBE, relaxed); magnetization = 0.0 Bohr magnetons per cell; D(E_F) = 17.0 states/eV/cell; formation energy without anion corrections = -4.540 eV/f.u.; E = -5.76 eV/atom
1.0
4.068 0.000 0.000
0.000 11.103 0.000
0.000 0.000 11.115
Tm Ni Si
12 4 8
Cartesian
1.017 1.383 6.198 Tm
3.051 10.445 1.309 Tm
1.017 7.743 2.388 Tm
3.051 3.360 8.727 Tm
3.051 6.935 10.474 Tm
1.017 4.169 0.641 Tm
3.051 2.191 3.170 Tm
1.017 4.894 4.249 Tm
1.017 0.658 9.806 Tm
3.051 9.720 4.917 Tm
3.051 6.210 6.866 Tm
1.017 8.912 7.945 Tm
1.017 4.062 7.004 Ni
3.051 9.614 9.668 Ni
1.017 1.489 1.447 Ni
3.051 7.041 4.111 Ni
3.051 11.047 7.733 Si
3.051 5.608 2.175 Si
1.017 5.495 8.939 Si
1.017 9.026 10.853 Si
1.017 0.057 3.382 Si
3.051 2.078 0.262 Si
3.051 3.474 5.819 Si
1.017 7.629 5.296 Si


Entry 14:
Tm2Si4Ni5 (GGA-PBE, relaxed); magnetization = 0.0 Bohr magnetons per cell; D(E_F) = 8.3 states/eV/cell; formation energy without anion corrections = -7.693 eV/f.u.; E = -6.11 eV/atom
1.0
-3.753 3.612 0.879
-4.767 -1.486 1.627
0.132 2.341 6.815
Ni Tm Si
5 2 4
Cartesian
-1.877 1.806 0.440 Ni
-5.132 3.137 4.880 Ni
-3.256 1.331 4.441 Ni
-2.383 -0.743 0.813 Ni
-4.260 1.063 1.253 Ni
-3.193 3.761 2.657 Tm
-0.428 2.192 5.038 Tm
-6.184 3.500 6.836 Si
-3.138 3.025 5.916 Si
-2.204 0.968 2.485 Si
-5.250 1.442 3.405 Si


Entry 15:
Tm2Si7Ni12 (GGA-PBE, relaxed); magnetization = 0.0 Bohr magnetons per cell; D(E_F) = 10.4 states/eV/cell; formation energy without anion corrections = -14.474 eV/f.u.; E = -6.23 eV/atom
1.0
3.667 0.000 0.000
0.000 7.957 -4.594
0.000 0.000 9.188
Ni Si Tm
12 7 2
Cartesian
0.000 3.677 2.621 Ni
0.000 0.431 4.693 Ni
0.000 3.849 6.468 Ni
1.834 1.732 3.206 Ni
0.000 2.203 -0.777 Ni
1.834 7.211 1.483 Ni
1.834 5.636 -2.392 Ni
1.834 4.315 4.491 Ni
0.000 6.182 3.075 Ni
1.834 3.067 0.909 Ni
1.834 1.911 6.085 Ni
0.000 7.529 -2.297 Ni
1.834 3.495 -1.368 Si
0.000 0.431 6.961 Si
0.000 2.652 4.594 Si
1.834 7.394 -0.883 Si
0.000 1.713 1.487 Si
1.834 5.025 2.251 Si
0.000 5.813 5.334 Si
0.000 5.305 0.000 Tm
1.834 0.000 0.000 Tm


Entry 16:
TmSi2Ni6 (GGA-PBE, relaxed); magnetization = 0.0 Bohr magnetons per cell; D(E_F) = 10.2 states/eV/cell; formation energy without anion corrections = 0.000 eV/f.u.; E = -5.56 eV/atom
1.0
-4.441 -5.727 0.922
-1.907 -4.105 -5.735
2.611 -6.791 -0.661
Ni Tm Si
12 2 4
Cartesian
0.423 -7.534 -1.676 Ni
-0.553 -9.633 -4.609 Ni
-4.160 -9.089 -3.799 Ni
-0.953 -2.100 -2.833 Ni
0.323 -5.418 -3.157 Ni
-3.184 -6.990 -0.866 Ni
1.254 -3.413 -0.354 Ni
-0.915 -6.211 0.096 Ni
-3.123 -4.899 -2.383 Ni
-1.849 -10.463 -1.204 Ni
-2.191 -2.893 0.419 Ni
-1.888 -6.160 -4.271 Ni
-2.803 -12.468 -4.106 Tm
-1.868 -8.312 -2.737 Tm
-1.421 -4.130 -3.552 Si
-0.467 -2.078 -0.684 Si
0.839 -5.474 -1.015 Si
-2.688 -4.942 -0.223 Si


Entry 17:
Tm3Si2Ni2 (GGA-PBE, relaxed); magnetization = 0.0 Bohr magnetons per cell; D(E_F) = 22.7 states/eV/cell; formation energy without anion corrections = -5.231 eV/f.u.; E = -5.86 eV/atom
1.0
-1.985 0.015 5.074
6.525 -2.998 2.561
4.540 11.368 1.743
Si Tm Ni
8 12 8
Cartesian
7.018 6.728 3.629 Si
3.612 -2.239 5.196 Si
2.062 1.658 5.748 Si
0.928 -0.744 2.439 Si
3.197 4.940 3.310 Si
2.384 8.237 5.854 Si
5.882 3.445 6.067 Si
6.695 0.149 3.523 Si
5.497 2.703 2.924 Tm
4.317 7.780 3.802 Tm
8.299 4.173 4.016 Tm
9.638 7.527 4.530 Tm
7.044 6.285 6.451 Tm
4.158 -0.651 2.410 Tm
0.780 4.212 5.361 Tm
2.036 2.101 2.926 Tm
4.762 0.606 5.576 Tm
4.922 9.037 6.967 Tm
3.582 5.683 6.453 Tm
-0.559 0.859 4.847 Tm
3.141 10.256 4.819 Ni
6.876 8.754 4.894 Ni
2.204 -0.368 4.483 Ni
7.398 1.786 5.119 Ni
3.664 3.289 5.044 Ni
5.415 5.097 4.333 Ni
5.938 -1.871 4.558 Ni
1.681 6.599 4.259 Ni


Entry 18:
TmSi2Ni4 (GGA-PBE, relaxed); magnetization = 0.0 Bohr magnetons per cell; D(E_F) = 18.9 states/eV/cell; formation energy without anion corrections = -4.207 eV/f.u.; E = -6.09 eV/atom; energy above the most stable polymorph in this dataset = 78.6 meV/atom
1.0
-0.837 -3.542 -1.481
3.188 -2.597 4.410
-13.039 -0.691 9.019
Ni Si Tm
16 8 4
Cartesian
-4.203 -2.463 5.660 Ni
-8.367 -2.101 7.148 Ni
-12.278 -1.542 8.018 Ni
-8.627 -5.247 9.605 Ni
-11.266 -5.007 10.522 Ni
-4.084 -5.201 6.930 Ni
-6.484 -4.366 6.289 Ni
-10.616 -3.702 7.033 Ni
-2.320 -4.728 4.801 Ni
0.579 -1.823 1.426 Ni
-0.071 -3.128 4.916 Ni
1.591 -5.288 3.930 Ni
-2.061 -1.583 2.344 Ni
-6.604 -1.628 5.019 Ni
-3.692 -3.685 3.083 Ni
-6.995 -3.144 8.866 Ni
-7.271 -3.976 11.011 Si
-8.457 -4.404 7.494 Si
-12.372 -3.942 8.599 Si
-2.231 -2.425 4.455 Si
1.685 -2.888 3.350 Si
-5.787 -3.649 4.180 Si
-4.901 -3.180 7.769 Si
-3.416 -2.854 0.938 Si
-4.896 -1.145 2.899 Tm
-0.840 -4.062 2.372 Tm
-5.792 -5.684 9.050 Tm
-9.848 -2.768 9.577 Tm


Entry 19:
Tm3Si2Ni4 (GGA-PBE, relaxed); magnetization = 0.0 Bohr magnetons per cell; D(E_F) = 6.0 states/eV/cell; formation energy without anion corrections = -6.205 eV/f.u.; E = -5.95 eV/atom
1.0
-3.779 -0.814 1.200
3.684 -2.206 3.279
-1.037 7.636 1.915
Ni Tm Si
4 3 2
Cartesian
-1.067 1.915 4.765 Ni
-0.065 2.702 1.628 Ni
-1.157 -1.050 2.470 Ni
0.026 5.666 3.924 Ni
0.000 0.000 0.000 Tm
0.995 0.433 3.428 Tm
-2.127 4.184 2.966 Tm
-1.652 1.217 2.449 Si
0.520 3.400 3.945 Si


Entry 20:
Tm12SiNi6 (GGA-PBE, relaxed); magnetization = 0.0 Bohr magnetons per cell; D(E_F) = 17.6 states/eV/cell; formation energy without anion corrections = -4.261 eV/f.u.; E = -5.16 eV/atom
1.0
-2.019 2.331 7.375
-7.142 -1.842 -3.081
3.025 -7.262 1.416
Tm Ni Si
12 6 1
Cartesian
-5.868 -3.910 -1.751 Tm
-0.269 -2.863 7.462 Tm
-4.585 -2.311 4.868 Tm
-1.166 -1.963 4.221 Tm
-2.163 -7.693 -0.302 Tm
-7.658 -0.580 2.229 Tm
-3.973 0.920 6.012 Tm
-1.551 -4.462 0.842 Tm
1.521 -6.193 3.481 Tm
-4.970 -4.810 1.489 Tm
-4.345 -1.370 1.509 Tm
-1.792 -5.403 4.201 Tm
-3.693 -3.171 -0.406 Ni
-2.443 -3.602 6.116 Ni
0.208 -3.968 2.841 Ni
-3.144 -0.178 3.734 Ni
-2.992 -6.594 1.977 Ni
-6.344 -2.805 2.869 Ni
0.000 0.000 0.000 Si